# 1
Crystalline YInSb at its relaxed geometry. Source: Alexandria via LeMat-Bulk, functional PBE.

Calculated values
Formation energy from raw total energies ... -42 kJ/mol of atoms
Density of states at the Fermi level ... 2.21 states/eV/f.u.

```
3
Lattice="0.000 2.911 5.355 2.598 0.000 5.355 2.598 2.911 0.000" Properties=species:S:1:pos:R:3 pbc="T T T"
Y 0.000 0.000 0.000
In 2.598 2.911 3.419
Sb 2.598 2.911 7.114
```

=====

# 2
Crystalline KPuSn2 at its relaxed geometry. Source: Alexandria via LeMat-Bulk, functional PBE.

Calculated values
Formation energy ... -0.06 eV per atom
Density of states at the Fermi level ... 8.38 states/eV/f.u.

```
4
Lattice="1.750 1.010 11.296 -1.750 1.010 11.296 0.000 -2.021 11.296" Properties=species:S:1:pos:R:3 pbc="T T T"
K 0.000 0.000 0.000
Pu 0.000 0.000 16.943
Sn 0.000 0.000 8.309
Sn 0.000 0.000 25.578
```

=====

# 3
Crystalline SrCrIn2Cl6 at its relaxed geometry. Source: Alexandria via LeMat-Bulk, functional PBE.

Calculated values
Formation energy from raw total energies ... -127 kJ/mol of atoms

```
10
Lattice="7.116 0.000 0.000 0.018 7.377 0.000 3.296 3.630 5.757" Properties=species:S:1:pos:R:3 pbc="T T T"
Sr 0.000 0.000 0.000
Cr 3.567 3.688 0.000
In 3.833 7.431 3.141
In 6.598 3.576 2.616
Cl 1.516 4.889 0.231
Cl 3.579 3.102 2.932
Cl 5.635 5.313 5.325
Cl 4.795 5.694 0.432
Cl 6.852 7.906 2.825
Cl 8.914 6.118 5.527
```

=====

# 4
Crystalline PrHgAu3 at its relaxed geometry. Source: Alexandria via LeMat-Bulk, functional PBE.

Calculated values
Formation energy ... -0.38 eV per atom
Density of states at the Fermi level ... 2.45 states/eV/f.u.

```
10
Lattice="9.908 -2.273 0.000 9.908 2.273 0.000 -0.334 0.000 5.309" Properties=species:S:1:pos:R:3 pbc="T T T"
Pr 1.916 0.000 2.491
Pr 17.565 0.000 2.817
Hg 6.999 0.000 5.108
Hg 12.483 0.000 0.201
Au 3.810 0.000 4.908
Au 5.550 0.000 2.290
Au 9.806 0.000 1.330
Au 9.676 0.000 3.979
Au 13.932 0.000 3.019
Au 15.672 0.000 0.401
```

=====

# 5
Crystalline GaTc at its relaxed geometry. Source: Alexandria via LeMat-Bulk, functional PBE.

Calculated values
Distance to the lowest polymorph of the same formula ... 0.135 eV/atom
Formation energy ... -0.04 eV per atom
Density of states at the Fermi level ... 1.86 states/eV/f.u.

```
8
Lattice="-3.840 3.840 2.208 3.840 -3.840 2.208 3.840 3.840 -2.208" Properties=species:S:1:pos:R:3 pbc="T T T"
Ga 2.096 0.000 0.000
Ga 5.584 0.000 0.000
Ga 0.000 2.096 0.000
Ga 0.000 5.584 0.000
Tc 2.565 2.565 0.000
Tc 1.275 -1.275 2.208
Tc -1.275 1.275 2.208
Tc 1.275 1.275 2.208
```

=====

# 6
Crystalline SrAlS2Cl at its relaxed geometry. Source: Alexandria via LeMat-Bulk, functional PBE.

Calculated values
Formation energy from raw total energies ... -135 kJ/mol of atoms
Distance to the lowest polymorph of the same formula ... 0.000 eV/atom
Density of states at the Fermi level ... 0.78 states/eV/f.u.

```
5
Lattice="4.766 0.000 0.000 0.000 4.766 0.000 0.000 0.000 4.769" Properties=species:S:1:pos:R:3 pbc="T T T"
Sr 0.000 0.000 0.000
Al 2.383 2.383 2.385
S 0.000 2.383 2.385
S 2.383 0.000 2.385
Cl 2.383 2.383 0.000
```

=====

# 7
Crystalline LaPm3In at its relaxed geometry. Source: Alexandria via LeMat-Bulk, functional PBE.

Calculated values
Distance to the lowest polymorph of the same formula ... 0.000 eV/atom
Formation energy ... -0.19 eV per atom
Density of states at the Fermi level ... 7.59 states/eV/f.u.

```
10
Lattice="2.493 -12.945 0.000 2.493 12.945 0.000 0.000 0.000 4.941" Properties=species:S:1:pos:R:3 pbc="T T T"
La 2.493 9.045 3.705
La 2.493 -9.045 1.235
Pm 2.493 11.642 1.235
Pm 2.493 6.476 1.235
Pm 2.493 1.364 1.235
Pm 2.493 -1.364 3.705
Pm 2.493 -6.476 3.705
Pm 2.493 -11.642 3.705
In 2.493 3.972 3.705
In 2.493 -3.972 1.235
```

=====

# 8
Crystalline PuVGe at its relaxed geometry. Source: Alexandria via LeMat-Bulk, functional PBE.

Calculated values
Formation energy ... -0.07 eV per atom
Density of states at the Fermi level ... 5.88 states/eV/f.u.

```
3
Lattice="4.390 0.000 0.000 -2.195 3.802 0.000 0.000 0.000 3.531" Properties=species:S:1:pos:R:3 pbc="T T T"
Pu 0.000 0.000 0.000
V 2.195 1.267 1.765
Ge 0.000 2.535 1.765
```

=====

# 9
Crystalline Li2PuGa2 at its relaxed geometry. Source: Alexandria via LeMat-Bulk, functional PBE.

Calculated values
Formation energy ... -0.25 eV per atom
Density of states at the Fermi level ... 8.07 states/eV/f.u.

```
10
Lattice="8.043 0.000 0.000 0.000 8.043 0.000 0.000 0.000 2.741" Properties=species:S:1:pos:R:3 pbc="T T T"
Li 0.917 3.104 0.000
Li 3.104 7.126 0.000
Li 4.939 0.917 0.000
Li 7.126 4.939 0.000
Pu 0.000 0.000 0.000
Pu 4.022 4.022 0.000
Ga 1.463 5.484 1.370
Ga 2.559 1.463 1.370
Ga 5.484 6.580 1.370
Ga 6.580 2.559 1.370
```

=====

# 10
Crystalline NaGa3F at its relaxed geometry. Source: Alexandria via LeMat-Bulk, functional PBE.

Calculated values
Formation energy from raw total energies ... -41 kJ/mol of atoms
Distance to the lowest polymorph of the same formula ... 0.000 eV/atom
Density of states at the Fermi level ... 1.74 states/eV/f.u.

```
5
Lattice="4.820 0.000 0.000 0.000 4.820 0.000 0.000 0.000 4.820" Properties=species:S:1:pos:R:3 pbc="T T T"
Na 0.000 0.000 0.000
Ga 0.000 2.410 2.410
Ga 2.410 0.000 2.410
Ga 2.410 2.410 0.000
F 2.410 2.410 2.410
```

=====

# 11
Crystalline Li3AcTl3 at its relaxed geometry. Source: Alexandria via LeMat-Bulk, functional PBE.

Calculated values
Distance to the lowest polymorph of the same formula ... 0.278 eV/atom
Formation energy ... 0.03 eV per atom
Density of states at the Fermi level ... 3.83 states/eV/f.u.

```
14
Lattice="7.265 0.000 0.000 0.000 7.265 0.000 0.000 0.000 7.265" Properties=species:S:1:pos:R:3 pbc="T T T"
Li 0.000 1.816 3.632
Li 0.000 5.449 3.632
Li 1.816 3.632 0.000
Li 3.632 0.000 1.816
Li 3.632 0.000 5.449
Li 5.449 3.632 0.000
Ac 0.000 0.000 0.000
Ac 3.632 3.632 3.632
Tl 0.000 3.632 1.816
Tl 0.000 3.632 5.449
Tl 1.816 0.000 3.632
Tl 3.632 1.816 0.000
Tl 3.632 5.449 0.000
Tl 5.449 0.000 3.632
```

=====

# 12
Crystalline CdHgAu2 at its relaxed geometry. Source: Alexandria via LeMat-Bulk, functional PBE.

Calculated values
Formation energy ... 0.00 eV per atom
Density of states at the Fermi level ... 0.82 states/eV/f.u.

```
4
Lattice="4.962 -1.590 0.000 4.962 1.590 0.000 -1.197 0.000 5.028" Properties=species:S:1:pos:R:3 pbc="T T T"
Cd 0.000 0.000 0.000
Hg 4.363 0.000 2.514
Au 1.632 0.000 3.804
Au 7.094 0.000 1.224
```

=====

# 13
Crystalline HgP3N at its relaxed geometry. Source: Alexandria via LeMat-Bulk, functional PBE.

Calculated values
Formation energy from raw total energies ... 101 kJ/mol of atoms
Distance to the lowest polymorph of the same formula ... 0.000 eV/atom
Density of states at the Fermi level ... 3.58 states/eV/f.u.

```
5
Lattice="4.232 0.000 0.000 0.000 4.232 0.000 0.000 0.000 4.232" Properties=species:S:1:pos:R:3 pbc="T T T"
Hg 0.000 0.000 0.000
P 0.000 2.116 2.116
P 2.116 0.000 2.116
P 2.116 2.116 0.000
N 2.116 2.116 2.116
```

=====

# 14
Crystalline CrPCCl2 at its relaxed geometry. Source: Alexandria via LeMat-Bulk, functional PBE.

Calculated values
Formation energy from raw total energies ... 125 kJ/mol of atoms
Distance to the lowest polymorph of the same formula ... 0.000 eV/atom
Density of states at the Fermi level ... 3.95 states/eV/f.u.

```
5
Lattice="4.635 0.000 0.000 0.000 4.635 0.000 0.000 0.000 4.732" Properties=species:S:1:pos:R:3 pbc="T T T"
Cr 0.000 0.000 0.000
P 0.000 0.000 2.366
C 2.318 2.318 2.366
Cl 0.000 2.318 0.000
Cl 2.318 0.000 0.000
```

=====

# 15
Crystalline Na2MoCl5 at its relaxed geometry. Source: Alexandria via LeMat-Bulk, functional PBE.

Calculated values
Formation energy from raw total energies ... -117 kJ/mol of atoms
Distance to the lowest polymorph of the same formula ... 0.059 eV/atom

```
8
Lattice="5.829 -3.816 0.000 5.829 3.816 0.000 -2.384 0.000 6.855" Properties=species:S:1:pos:R:3 pbc="T T T"
Na 0.000 0.000 0.000
Na 5.567 0.000 3.728
Mo 4.141 0.000 6.806
Cl 3.754 1.701 5.102
Cl 6.317 1.700 1.688
Cl 3.754 -1.701 5.102
Cl 6.460 0.000 6.428
Cl 6.317 -1.700 1.688
```

=====

# 16
Crystalline Ba5Ca2I12 at its relaxed geometry. Source: Alexandria via LeMat-Bulk, functional PBE.

Calculated values
Formation energy from raw total energies ... -153 kJ/mol of atoms
Density of states at the Fermi level ... 5.97 states/eV/f.u.

```
19
Lattice="9.592 -4.679 0.000 9.592 4.679 0.000 -2.749 0.000 10.307" Properties=species:S:1:pos:R:3 pbc="T T T"
Ba 0.000 0.000 0.000
Ba 5.296 0.000 1.208
Ba 3.934 0.000 6.971
Ba 12.502 0.000 3.336
Ba 11.140 0.000 9.099
Ca 8.218 2.260 5.154
Ca 8.218 -2.260 5.154
I -0.564 0.000 3.327
I 4.298 2.389 9.586
I 5.245 2.127 4.178
I 12.138 2.389 0.721
I 11.191 2.127 6.129
I 7.605 0.000 7.317
I 8.831 0.000 2.991
I 5.245 -2.127 4.178
I 4.298 -2.389 9.586
I 11.191 -2.127 6.129
I 12.138 -2.389 0.721
I 17.001 0.000 6.980
```

=====

# 17
Crystalline In3HgPb6 at its relaxed geometry. Source: Alexandria via LeMat-Bulk, functional PBE.

Calculated values
Distance to the lowest polymorph of the same formula ... 0.008 eV/atom
Formation energy ... 0.05 eV per atom
Density of states at the Fermi level ... 5.55 states/eV/f.u.

```
20
Lattice="4.683 -9.843 0.000 4.683 9.843 0.000 0.000 0.000 6.564" Properties=species:S:1:pos:R:3 pbc="T T T"
In 4.683 7.711 3.282
In 3.009 2.456 1.558
In 3.009 -2.456 4.840
In 6.358 2.456 1.558
In 6.358 -2.456 4.840
In 4.683 -7.711 0.000
Hg 4.683 4.727 2.684
Hg 4.683 -4.727 5.966
Pb 2.831 3.696 5.098
Pb 1.715 0.655 3.921
Pb 4.683 6.322 6.303
Pb 1.715 -0.655 0.639
Pb 4.683 0.623 5.568
Pb 2.831 -3.696 1.816
Pb 6.536 3.696 5.098
Pb 4.683 -0.623 2.286
Pb 7.652 0.655 3.921
Pb 4.683 -6.322 3.021
Pb 7.652 -0.655 0.639
Pb 6.536 -3.696 1.816
```

=====

# 18
Crystalline La2Hg at its relaxed geometry. Source: Alexandria via LeMat-Bulk, functional PBE.

Calculated values
Formation energy ... -0.14 eV per atom
Density of states at the Fermi level ... 5.24 states/eV/f.u.

```
3
Lattice="0.000 3.787 3.787 3.787 0.000 3.787 3.787 3.787 0.000" Properties=species:S:1:pos:R:3 pbc="T T T"
La 1.893 1.893 1.893
La 5.680 5.680 5.680
Hg 0.000 0.000 0.000
```

=====

# 19
Crystalline ScAl2Rh at its relaxed geometry. Source: Alexandria via LeMat-Bulk, functional PBE.

Calculated values
Formation energy ... -0.66 eV per atom
Density of states at the Fermi level ... 1.94 states/eV/f.u.

```
4
Lattice="3.136 0.000 0.000 0.000 3.136 0.000 0.000 0.000 6.725" Properties=species:S:1:pos:R:3 pbc="T T T"
Sc 0.000 0.000 0.000
Al 0.000 0.000 3.650
Al 1.568 1.568 1.994
Rh 1.568 1.568 4.908
```